P.
ReRu2: relaxed, GGA-PBEsol.

Values from the calculation:
For the total magnetization, the calculation gives 0.76 μB/f.u. The value obtained for the theoretical density is 15.25 g/cm3. The space group is I4/mmm, No. 139.

POSCAR file:
```
ReRu2
1.0
-1.597 1.597 4.145
1.597 -1.597 4.145
1.597 1.597 -4.145
Re Ru
1 2
Cartesian
0.000 0.000 0.000
0.000 0.000 2.793
0.000 0.000 5.496
```

***

Q.
ReRu2: relaxed, GGA-PBEsol.

Values from the calculation:
For the total magnetization, the calculation gives 0.00 μB/f.u. The value obtained for the theoretical density is 15.68 g/cm3. The space group is Cm, No. 8.

POSCAR file:
```
ReRu2
1.0
4.895 -1.357 0.000
4.895 1.357 0.000
-1.512 0.000 6.189
Re Ru
2 4
Cartesian
0.000 0.000 0.000
6.042 0.000 2.094
-0.379 0.000 3.797
2.262 0.000 4.150
3.400 0.000 1.732
5.640 0.000 5.862
```

***

R.
ReRu2: relaxed, GGA-PBEsol.

Values from the calculation:
For the total magnetization, the calculation gives 0.00 μB/f.u. The value obtained for the theoretical density is 15.70 g/cm3. The space group is Pnma, No. 62.

POSCAR file:
```
ReRu2
1.0
4.700 0.000 0.000
0.000 4.286 0.000
0.000 0.000 8.154
Re Ru
4 8
Cartesian
0.798 1.072 1.334
1.552 3.215 5.412
3.148 1.072 2.743
3.902 3.215 6.820
0.775 1.072 6.780
0.783 1.072 4.067
1.567 3.215 8.144
1.575 3.215 2.703
3.125 1.072 5.451
3.133 1.072 0.010
3.917 3.215 4.088
3.926 3.215 1.374
```

***

Tell me which of them is the most stable. Sure, it is R.

***

P.
ReRu2: relaxed, GGA-PBEsol.

Values from the calculation:
For the total magnetization, the calculation gives 0.00 μB/f.u. The value obtained for the theoretical density is 15.69 g/cm3. The space group is C2/m, No. 12.

POSCAR file:
```
ReRu2
1.0
4.897 -1.357 0.000
4.897 1.357 0.000
-1.508 0.000 6.185
Re Ru
2 4
Cartesian
-0.186 0.000 1.887
8.472 0.000 4.298
2.445 0.000 2.242
2.057 0.000 6.017
6.229 0.000 0.168
5.840 0.000 3.943
```

***

Q.
ReRu2: relaxed, GGA-PBEsol.

Values from the calculation:
For the total magnetization, the calculation gives 0.00 μB/f.u. The value obtained for the theoretical density is 15.66 g/cm3. The space group is Cmcm, No. 63.

POSCAR file:
```
ReRu2
1.0
1.359 -7.056 0.000
1.359 7.056 0.000
0.000 0.000 4.295
Re Ru
2 4
Cartesian
1.359 3.951 3.221
1.359 -3.951 1.074
1.359 5.507 1.074
1.359 0.782 1.074
1.359 -0.782 3.221
1.359 -5.507 3.221
```

***

Tell me which of them is the most stable. Sure, it is P.

***

P.
ReRu2Se: relaxed, GGA-PBEsol.

Values from the calculation:
For the total magnetization, the calculation gives 0.00 μB/f.u. The value obtained for the theoretical density is 13.25 g/cm3. The space group is Pmm2, No. 25.

POSCAR file:
```
ReRu2Se
1.0
2.827 0.000 0.000
0.000 3.783 0.000
0.000 0.000 5.476
Re Ru Se
1 2 1
Cartesian
0.000 0.000 0.000
0.000 0.000 2.668
1.414 1.892 1.051
1.414 1.892 3.613
```

***

Q.
ReRu2Se: relaxed, GGA-PBEsol.

Values from the calculation:
For the total magnetization, the calculation gives 0.00 μB/f.u. The value obtained for the theoretical density is 13.65 g/cm3. The space group is F-43m, No. 216.

POSCAR file:
```
ReRu2Se
1.0
0.000 3.052 3.052
3.052 0.000 3.052
3.052 3.052 0.000
Re Ru Se
1 2 1
Cartesian
0.000 0.000 0.000
1.526 1.526 1.526
3.052 3.052 3.052
4.578 4.578 4.578
```

***

R.
ReRu2Se: relaxed, GGA-PBEsol.

Values from the calculation:
For the total magnetization, the calculation gives 0.00 μB/f.u. The value obtained for the theoretical density is 13.90 g/cm3. The space group is Immm, No. 71.

POSCAR file:
```
ReRu2Se
1.0
-1.452 2.191 4.386
1.452 -2.191 4.386
1.452 2.191 -4.386
Re Ru Se
1 2 1
Cartesian
0.000 0.000 0.000
1.452 0.000 2.388
0.000 2.191 1.998
0.000 0.000 4.386
```

***

S.
ReRu2Se: relaxed, GGA-PBEsol.

Values from the calculation:
For the total magnetization, the calculation gives 0.00 μB/f.u. The value obtained for the theoretical density is 13.66 g/cm3. The space group is R-3m, No. 166.

POSCAR file:
```
ReRu2Se
1.0
1.403 0.810 8.332
-1.403 0.810 8.332
0.000 -1.620 8.332
Re Ru Se
1 2 1
Cartesian
0.000 0.000 0.000
0.000 0.000 6.202
0.000 0.000 18.793
0.000 0.000 12.497
```

***

Tell me which of them is the most stable. Sure, it is S.

***

P.
SrReRu: relaxed, GGA-PBEsol.

Values from the calculation:
For the total magnetization, the calculation gives 2.21 μB/f.u. The value obtained for the theoretical density is 9.68 g/cm3. The space group is F-43m, No. 216.

POSCAR file:
```
SrReRu
1.0
0.000 3.180 3.180
3.180 0.000 3.180
3.180 3.180 0.000
Sr Re Ru
1 1 1
Cartesian
0.000 0.000 0.000
4.769 4.769 4.769
1.590 1.590 1.590
```

***

Q.
SrReRu: relaxed, GGA-PBEsol.

Values from the calculation:
For the total magnetization, the calculation gives 0.00 μB/f.u. The value obtained for the theoretical density is 9.93 g/cm3. The space group is F-43m, No. 216.

POSCAR file:
```
SrReRu
1.0
0.000 3.153 3.153
3.153 0.000 3.153
3.153 3.153 0.000
Sr Re Ru
1 1 1
Cartesian
0.000 0.000 0.000
3.153 3.153 3.153
4.730 4.730 4.730
```

***

Tell me which of them is the most stable. Sure, it is Q.

***

P.
Re2TcRu: relaxed, GGA-PBEsol.

Values from the calculation:
For the total magnetization, the calculation gives 0.00 μB/f.u. The value obtained for the theoretical density is 16.75 g/cm3. The space group is C2/m, No. 12.

POSCAR file:
```
Re2TcRu
1.0
4.496 -1.358 0.000
4.496 1.358 0.000
-0.816 0.000 4.641
Re Tc Ru
2 1 1
Cartesian
2.028 0.000 1.151
6.148 0.000 3.490
-0.408 0.000 2.321
4.496 0.000 0.000
```

***

Q.
Re2TcRu: relaxed, GGA-PBEsol.

Values from the calculation:
For the total magnetization, the calculation gives 0.00 μB/f.u. The value obtained for the theoretical density is 16.77 g/cm3. The space group is I-4m2, No. 119.

POSCAR file:
```
Re2TcRu
1.0
-1.919 1.919 3.842
1.919 -1.919 3.842
1.919 1.919 -3.842
Re Tc Ru
2 1 1
Cartesian
0.000 0.000 0.000
0.000 1.919 1.921
1.919 0.000 1.921
0.000 0.000 3.842
```

***

Tell me which of them is the most stable. Sure, it is Q.

***

P.
Re2TcRu: relaxed, GGA-PBEsol.

Values from the calculation:
For the total magnetization, the calculation gives 0.00 μB/f.u. The value obtained for the theoretical density is 16.49 g/cm3. The space group is Pm, No. 6.

POSCAR file:
```
Re2TcRu
1.0
2.710 0.000 0.000
0.000 4.229 0.000
-1.314 0.000 5.020
Re Tc Ru
2 1 1
Cartesian
0.000 0.000 0.000
-0.025 2.115 1.371
0.037 2.115 3.951
1.347 0.000 2.394
```

***

Q.
Re2TcRu: relaxed, GGA-PBEsol.

Values from the calculation:
For the total magnetization, the calculation gives 0.00 μB/f.u. The value obtained for the theoretical density is 16.78 g/cm3. The space group is Cmmm, No. 65.

POSCAR file:
```
Re2TcRu
1.0
2.715 -3.848 0.000
2.715 3.848 0.000
0.000 0.000 2.706
Re Tc Ru
2 1 1
Cartesian
1.358 1.924 0.000
1.358 -1.924 0.000
0.000 0.000 1.353
2.715 0.000 1.353
```

***

R.
Re2TcRu: relaxed, GGA-PBEsol.

Values from the calculation:
For the total magnetization, the calculation gives 0.00 μB/f.u. The value obtained for the theoretical density is 16.78 g/cm3. The space group is P4/mmm, No. 123.

POSCAR file:
```
Re2TcRu
1.0
3.841 0.000 0.000
0.000 3.841 0.000
0.000 0.000 3.834
Re Tc Ru
2 1 1
Cartesian
0.000 1.921 0.000
1.921 0.000 0.000
0.000 0.000 1.917
1.921 1.921 1.917
```

***

Tell me which of them is the most stable. Sure, it is R.